No. 1
First-principles (PBE-GGA) data for a geometry-optimized CaTl2AsF6 structure, as listed in Alexandria.

Cell lengths 6.0585, 5.4559, 7.7185 Å; angles 61.97, 63.71, 89.10 degrees
Last column: nearest neighbours and their distance in Å.
Element x y z (fractional)
Ca 0.0000 0.0000 0.0000  6 F 2.24-2.31
F 0.2324 0.6943 0.1241  1 As 2.05
F 0.2835 0.3851 0.8959  1 As 2.05
F 0.7165 0.6149 0.1041  1 As 2.05
F 0.2525 0.1053 0.6449  1 Ca 2.24
F 0.7676 0.3056 0.8759  1 As 2.05
F 0.7475 0.8947 0.3551  1 Ca 2.24
Tl 0.7295 0.2258 0.5181  2 F 2.59-2.62
Tl 0.2705 0.7742 0.4819  2 F 2.59-2.62
As 0.5000 0.5000 0.0000  4 F 2.05

Output
ΔE_f (raw)   -2.337 eV per atom
V   19.59 A^3/atom

***

No. 2
First-principles (PBE-GGA) data for a geometry-optimized CaZnAsF structure, as listed in Alexandria.

Cell lengths 4.0153, 4.0153, 8.8833 Å; angles 90.00, 90.00, 90.00 degrees
Last column: nearest neighbours and their distance in Å.
Element x y z (fractional)
F 0.0000 0.0000 0.5000  4 Ca 2.38
F 0.5000 0.5000 0.5000  4 Ca 2.38
Ca 0.5000 0.0000 0.6447  4 F 2.38
Ca 0.0000 0.5000 0.3553  4 F 2.38
As 0.0000 0.5000 0.8184  4 Zn 2.58
As 0.5000 0.0000 0.1816  4 Zn 2.58
Zn 0.0000 0.0000 0.0000  4 As 2.58, 4 Zn 2.84
Zn 0.5000 0.5000 0.0000  4 As 2.58, 4 Zn 2.84

Output
ΔE_f (raw)   -1.856 eV per atom
V   17.90 A^3/atom

***

No. 3
First-principles (PBE-GGA) data for a geometry-optimized Ca2Fe2As structure, as listed in Alexandria.

Cell lengths 5.6811, 5.6811, 5.3204 Å; angles 57.73, 57.73, 90.00 degrees
Last column: nearest neighbours and their distance in Å.
Element x y z (fractional)
Fe 0.6567 0.6567 0.6865  1 Fe 2.19, 1 As 2.39
Fe 0.3433 0.3433 0.3135  1 Fe 2.19, 1 As 2.39
As 0.0000 0.0000 0.0000  2 Fe 2.39
Ca 0.7500 0.2500 0.5000  4 Fe 2.91
Ca 0.2500 0.7500 0.5000  4 Fe 2.91

Output
Offset from the most stable computed form   181 meV/atom
E_form   0.231 eV/atom
V   22.52 A^3/atom

***

No. 4
First-principles (PBE-GGA) data for a geometry-optimized CaFe4As3 structure, as listed in Alexandria.

Cell lengths 3.7314, 11.3717, 11.8771 Å; angles 90.00, 90.00, 90.00 degrees
Last column: nearest neighbours and their distance in Å.
Element x y z (fractional)
As 0.7500 0.5751 0.6278  7 Fe 2.36-2.60
As 0.7500 0.7587 0.8909  6 Fe 2.35-2.47
As 0.7500 0.7413 0.3909  6 Fe 2.35-2.47
As 0.7500 0.9249 0.1278  7 Fe 2.36-2.60
As 0.7500 0.3729 0.8958  4 Fe 2.40-2.43
As 0.2500 0.6271 0.1042  4 Fe 2.40-2.43
As 0.2500 0.4249 0.3722  7 Fe 2.36-2.60
As 0.2500 0.0751 0.8722  7 Fe 2.36-2.60
As 0.2500 0.8729 0.6042  4 Fe 2.40-2.43
As 0.2500 0.2413 0.1091  6 Fe 2.35-2.47
As 0.2500 0.2587 0.6091  6 Fe 2.35-2.47
As 0.7500 0.1271 0.3958  4 Fe 2.40-2.43
Fe 0.2500 0.4604 0.5678  4 As 2.35-2.39, 5 Fe 2.58-2.62
Fe 0.2500 0.2741 0.8090  4 As 2.38-2.41, 2 Fe 2.58
Fe 0.7500 0.1834 0.9840  5 As 2.40-2.60, 4 Fe 2.54-2.67
Fe 0.2500 0.6292 0.3086  4 As 2.43-2.46, 5 Fe 2.54-2.58
Fe 0.2500 0.8166 0.0160  5 As 2.40-2.60, 4 Fe 2.54-2.67
Fe 0.2500 0.8708 0.8086  4 As 2.43-2.46, 5 Fe 2.54-2.58
Fe 0.2500 0.0396 0.0678  4 As 2.35-2.39, 5 Fe 2.58-2.62
Fe 0.7500 0.1292 0.1914  4 As 2.43-2.46, 5 Fe 2.54-2.58
Fe 0.2500 0.2259 0.3090  4 As 2.38-2.41, 2 Fe 2.58
Fe 0.7500 0.5396 0.4322  4 As 2.35-2.39, 5 Fe 2.58-2.62
Fe 0.2500 0.6834 0.5160  5 As 2.40-2.60, 4 Fe 2.54-2.67
Fe 0.7500 0.3166 0.4840  5 As 2.40-2.60, 4 Fe 2.54-2.67
Fe 0.7500 0.7741 0.6910  4 As 2.38-2.41, 2 Fe 2.58
Fe 0.7500 0.3708 0.6914  4 As 2.43-2.46, 5 Fe 2.54-2.58
Fe 0.7500 0.9604 0.9322  4 As 2.35-2.39, 5 Fe 2.58-2.62
Fe 0.7500 0.7259 0.1910  4 As 2.38-2.41, 2 Fe 2.58
Ca 0.7500 0.0661 0.6662  7 As 2.96-3.29
Ca 0.2500 0.9339 0.3338  7 As 2.96-3.29
Ca 0.7500 0.4339 0.1662  7 As 2.96-3.29
Ca 0.2500 0.5661 0.8338  7 As 2.96-3.29

Output
E_form   -0.349 eV/atom
V   15.75 A^3/atom

***

No. 5
First-principles (PBE-GGA) data for a geometry-optimized CaFe4As structure, as listed in Alexandria.

Cell lengths 4.9816, 4.9816, 4.9816 Å; angles 60.00, 60.00, 60.00 degrees
Last column: nearest neighbours and their distance in Å.
Element x y z (fractional)
Ca 0.0000 0.0000 0.0000  12 Fe 2.92, 4 As 3.05
Fe 0.3751 0.3751 0.3751  6 Fe 2.49
Fe 0.3751 0.8746 0.3751  6 Fe 2.49
Fe 0.3751 0.3751 0.8746  6 Fe 2.49
Fe 0.8746 0.3751 0.3751  6 Fe 2.49
As 0.7500 0.7500 0.7500  12 Fe 2.92, 4 Ca 3.05

Output
E_form   0.205 eV/atom
V   14.57 A^3/atom

***

No. 6
First-principles (PBE-GGA) data for a geometry-optimized Ca3FeAs structure, as listed in Alexandria.

Cell lengths 5.5646, 5.5646, 5.5646 Å; angles 90.00, 90.00, 90.00 degrees
Last column: nearest neighbours and their distance in Å.
Element x y z (fractional)
As 0.0000 0.0000 0.0000  6 Ca 2.78
Fe 0.5000 0.5000 0.5000  12 Ca 3.93
Ca 0.5000 0.0000 0.0000  2 As 2.78
Ca 0.0000 0.5000 0.0000  2 As 2.78
Ca 0.0000 0.0000 0.5000  2 As 2.78

Output
Offset from the most stable computed form   0 meV/atom
E_form   0.089 eV/atom
V   34.46 A^3/atom

***

No. 7
First-principles (PBE-GGA) data for a geometry-optimized CaFeAs structure, as listed in Alexandria.

Cell lengths 3.9688, 3.9688, 7.4146 Å; angles 90.00, 90.00, 90.00 degrees
Last column: nearest neighbours and their distance in Å.
Element x y z (fractional)
Fe 0.5000 0.5000 0.5000  4 As 2.36
Fe 0.0000 0.0000 0.5000  4 As 2.36
As 0.0000 0.5000 0.3273  4 Fe 2.36
As 0.5000 0.0000 0.6727  4 Fe 2.36
Ca 0.5000 0.0000 0.1838  4 As 3.00, 4 Fe 3.07
Ca 0.0000 0.5000 0.8162  4 As 3.00, 4 Fe 3.07

Output
E_form   -0.551 eV/atom
V   19.46 A^3/atom

***

No. 8
First-principles (PBE-GGA) data for a geometry-optimized CaFeAs structure, as listed in Alexandria.

Cell lengths 5.6986, 5.6986, 3.2344 Å; angles 73.51, 73.51, 32.97 degrees
Last column: nearest neighbours and their distance in Å.
Element x y z (fractional)
Fe 0.3740 0.3740 0.6260  4 As 2.45
Ca 0.6675 0.6675 0.3325  5 As 3.04-3.16, 5 Fe 3.06-3.14, 4 Ca 3.23
As 0.9585 0.9585 0.0415  4 Fe 2.45

Output
E_form   -0.208 eV/atom
V   18.20 A^3/atom

***

No. 9
First-principles (PBE-GGA) data for a geometry-optimized CaFe5As3 structure, as listed in Alexandria.

Cell lengths 3.8098, 7.2356, 9.5402 Å; angles 79.00, 90.00, 90.00 degrees
Last column: nearest neighbours and their distance in Å.
Element x y z (fractional)
Fe 0.2500 0.8143 0.2097  5 As 2.46-2.65, 2 Fe 2.64-2.67
Fe 0.2500 0.6178 0.9994  4 As 2.41-2.46, 5 Fe 2.55-2.69
Fe 0.2500 0.1186 0.0064  4 As 2.33-2.41, 2 Fe 2.58
Fe 0.7500 0.5784 0.4180  4 As 2.40-2.44, 2 Fe 2.59
Fe 0.7500 0.3822 0.0006  4 As 2.41-2.46, 5 Fe 2.55-2.69
Fe 0.7500 0.8814 0.9936  4 As 2.33-2.41, 2 Fe 2.58
Fe 0.7500 0.9644 0.4202  4 As 2.42-2.44, 2 Fe 2.55
Fe 0.2500 0.0356 0.5798  4 As 2.42-2.44, 2 Fe 2.55
Fe 0.7500 0.1857 0.7903  5 As 2.46-2.65, 2 Fe 2.64-2.67
Fe 0.2500 0.4216 0.5820  4 As 2.40-2.44, 2 Fe 2.59
As 0.2500 0.9260 0.8363  5 Fe 2.33-2.46
As 0.2500 0.3984 0.8378  7 Fe 2.33-2.54
As 0.7500 0.0740 0.1637  5 Fe 2.33-2.46
As 0.7500 0.6016 0.1622  7 Fe 2.33-2.54
As 0.2500 0.7547 0.4723  7 Fe 2.40-2.46
As 0.7500 0.2453 0.5277  7 Fe 2.40-2.46
Ca 0.2500 0.3060 0.2831  6 As 2.91-2.98, 10 Fe 3.12-3.26
Ca 0.7500 0.6940 0.7169  6 As 2.91-2.98, 10 Fe 3.12-3.26

Output
E_form   -0.297 eV/atom
V   14.34 A^3/atom

***

No. 10
First-principles (PBE-GGA) data for a geometry-optimized CaFe4As12 structure, as listed in Alexandria.

Cell lengths 7.2393, 7.2393, 7.2393 Å; angles 109.47, 109.47, 109.47 degrees
Last column: nearest neighbours and their distance in Å.
Element x y z (fractional)
As 0.8121 0.1549 0.6572  2 Fe 2.37, 2 As 2.59-2.63
As 0.8451 0.6572 0.5022  2 Fe 2.37, 2 As 2.59-2.63
As 0.1879 0.8451 0.3428  2 Fe 2.37, 2 As 2.59-2.63
As 0.4978 0.1549 0.3428  2 Fe 2.37, 2 As 2.59-2.63
As 0.1549 0.3428 0.4978  2 Fe 2.37, 2 As 2.59-2.63
As 0.3428 0.4978 0.1549  2 Fe 2.37, 2 As 2.59-2.63
As 0.6572 0.8121 0.1549  2 Fe 2.37, 2 As 2.59-2.63
As 0.6572 0.5022 0.8451  2 Fe 2.37, 2 As 2.59-2.63
As 0.3428 0.1879 0.8451  2 Fe 2.37, 2 As 2.59-2.63
As 0.8451 0.3428 0.1879  2 Fe 2.37, 2 As 2.59-2.63
As 0.5022 0.8451 0.6572  2 Fe 2.37, 2 As 2.59-2.63
As 0.1549 0.6572 0.8121  2 Fe 2.37, 2 As 2.59-2.63
Fe 0.5000 0.5000 0.5000  6 As 2.37
Fe 0.5000 0.0000 0.0000  6 As 2.37
Fe 0.0000 0.0000 0.5000  6 As 2.37
Fe 0.0000 0.5000 0.0000  6 As 2.37
Ca 0.0000 0.0000 0.0000  12 As 3.14

Output
E_form   -0.320 eV/atom
V   17.18 A^3/atom

***

No. 11
First-principles (PBE-GGA) data for a geometry-optimized CaFeAs structure, as listed in Alexandria.

Cell lengths 4.7078, 4.7078, 4.7078 Å; angles 60.00, 60.00, 60.00 degrees
Last column: nearest neighbours and their distance in Å.
Element x y z (fractional)
Ca 0.7500 0.7500 0.7500  4 Fe 2.88, 4 As 2.88
Fe 0.0000 0.0000 0.0000  4 Ca 2.88
As 0.5000 0.5000 0.5000  4 Ca 2.88

Output
E_form   0.551 eV/atom
V   24.59 A^3/atom

***

No. 12
First-principles (PBE-GGA) data for a geometry-optimized CaFeAs structure, as listed in Alexandria.

Cell lengths 4.5251, 4.5251, 4.5251 Å; angles 60.00, 60.00, 60.00 degrees
Last column: nearest neighbours and their distance in Å.
Element x y z (fractional)
As 0.7500 0.7500 0.7500  4 Fe 2.77, 4 Ca 2.77
Fe 0.5000 0.5000 0.5000  4 As 2.77
Ca 0.0000 0.0000 0.0000  4 As 2.77

Output
E_form   -0.195 eV/atom
V   21.84 A^3/atom

***

No. 13
First-principles (PBE-GGA) data for a geometry-optimized Ca2Fe2As structure, as listed in Alexandria.

Cell lengths 6.2752, 6.2752, 4.6257 Å; angles 90.00, 90.00, 90.00 degrees
Last column: nearest neighbours and their distance in Å.
Element x y z (fractional)
Ca 0.6773 0.8227 0.5000  6 Fe 2.90-3.01, 1 Ca 3.15
Ca 0.3227 0.1773 0.5000  6 Fe 2.90-3.01, 1 Ca 3.15
Ca 0.1773 0.6773 0.5000  6 Fe 2.90-3.01, 1 Ca 3.15
Ca 0.8227 0.3227 0.5000  6 Fe 2.90-3.01, 1 Ca 3.15
As 0.0000 0.0000 0.0000  4 Fe 2.48
As 0.5000 0.5000 0.0000  4 Fe 2.48
Fe 0.1255 0.3745 0.0000  1 Fe 2.23, 2 As 2.48
Fe 0.3745 0.8745 0.0000  1 Fe 2.23, 2 As 2.48
Fe 0.6255 0.1255 0.0000  1 Fe 2.23, 2 As 2.48
Fe 0.8745 0.6255 0.0000  1 Fe 2.23, 2 As 2.48

Output
Offset from the most stable computed form   0 meV/atom
E_form   0.050 eV/atom
V   18.22 A^3/atom

***

No. 14
First-principles (PBE-GGA) data for a geometry-optimized Ca4FeAs structure, as listed in Alexandria.

Cell lengths 6.4053, 6.4053, 6.4053 Å; angles 60.00, 60.00, 60.00 degrees
Last column: nearest neighbours and their distance in Å.
Element x y z (fractional)
As 0.0000 0.0000 0.0000  12 Ca 3.76, 4 Fe 3.92
Ca 0.3751 0.3751 0.3751  6 Ca 3.20
Ca 0.8748 0.3751 0.3751  6 Ca 3.20
Ca 0.3751 0.8748 0.3751  6 Ca 3.20
Ca 0.3751 0.3751 0.8748  6 Ca 3.20
Fe 0.7500 0.7500 0.7500  12 Ca 3.76, 4 As 3.92

Output
E_form   0.668 eV/atom
V   30.97 A^3/atom

***

No. 15
First-principles (PBE-GGA) data for a geometry-optimized CaInFeAs2 structure, as listed in Alexandria.

Cell lengths 4.5348, 4.9852, 4.5348 Å; angles 90.00, 90.00, 90.00 degrees
Last column: nearest neighbours and their distance in Å.
Element x y z (fractional)
In 0.5000 0.5000 0.5000  4 Ca 3.21, 8 As 3.37
As 0.0000 0.0000 0.5000  2 Fe 2.27
As 0.5000 0.0000 0.0000  2 Fe 2.27
Ca 0.0000 0.5000 0.0000  2 Fe 2.49
Fe 0.0000 0.0000 0.0000  4 As 2.27, 2 Ca 2.49

Output
E_form   0.060 eV/atom
V   20.50 A^3/atom

***

No. 16
First-principles (PBE-GGA) data for a geometry-optimized CaMnFeAs2 structure, as listed in Alexandria.

Cell lengths 3.9603, 3.9603, 6.4263 Å; angles 107.95, 107.95, 90.00 degrees
Last column: nearest neighbours and their distance in Å.
Element x y z (fractional)
Mn 0.7500 0.2500 0.5000  4 As 2.40
As 0.3673 0.3673 0.7346  2 Mn 2.40, 2 Fe 2.40
As 0.6327 0.6327 0.2654  2 Mn 2.40, 2 Fe 2.40
Ca 0.0000 0.0000 0.0000  8 As 3.19, 4 Fe 3.50, 4 Mn 3.50
Fe 0.2500 0.7500 0.5000  4 As 2.40

Output
E_form   -0.531 eV/atom
V   18.14 A^3/atom

***

No. 17
First-principles (PBE-GGA) data for a geometry-optimized CaFeMo2As structure, as listed in Alexandria.

Cell lengths 4.7675, 4.3116, 4.7675 Å; angles 90.00, 90.00, 90.00 degrees
Last column: nearest neighbours and their distance in Å.
Element x y z (fractional)
Mo 0.5000 0.0000 0.0000  2 Ca 2.38
Mo 0.0000 0.0000 0.5000  2 Ca 2.38
As 0.5000 0.5000 0.5000  8 Mo 3.21, 4 Fe 3.37
Fe 0.0000 0.5000 0.0000  2 Ca 2.16
Ca 0.0000 0.0000 0.0000  2 Fe 2.16, 4 Mo 2.38

Output
E_form   2.474 eV/atom
V   19.60 A^3/atom

***

No. 18
First-principles (PBE-GGA) data for a geometry-optimized CaFeMoAs2 structure, as listed in Alexandria.

Cell lengths 4.8986, 4.7407, 4.8986 Å; angles 90.00, 90.00, 90.00 degrees
Last column: nearest neighbours and their distance in Å.
Element x y z (fractional)
As 0.0000 0.0000 0.5000  2 Mo 2.45
As 0.5000 0.0000 0.0000  2 Mo 2.45
Ca 0.5000 0.5000 0.5000  8 As 3.41, 4 Fe 3.46
Fe 0.0000 0.5000 0.0000  2 Mo 2.37
Mo 0.0000 0.0000 0.0000  2 Fe 2.37, 4 As 2.45

Output
E_form   0.176 eV/atom
V   22.75 A^3/atom

***

No. 19
First-principles (PBE-GGA) data for a geometry-optimized Ca2FeAsN structure, as listed in Alexandria.

Cell lengths 5.0384, 5.0384, 3.6361 Å; angles 90.00, 90.00, 90.00 degrees
Last column: nearest neighbours and their distance in Å.
Element x y z (fractional)
As 0.5000 0.5000 0.5000  8 Ca 3.11
N 0.0000 0.0000 0.0000  2 Fe 1.82
Fe 0.0000 0.0000 0.5000  2 N 1.82
Ca 0.0000 0.5000 0.0000  2 N 2.52
Ca 0.5000 0.0000 0.0000  2 N 2.52

Output
ΔE_f (raw)   -0.682 eV per atom
V   18.46 A^3/atom

***

No. 20
First-principles (PBE-GGA) data for a geometry-optimized Ca2Fe2As2N structure, as listed in Alexandria.

Cell lengths 3.8312, 5.7433, 6.1703 Å; angles 69.74, 71.91, 70.52 degrees
Last column: nearest neighbours and their distance in Å.
Element x y z (fractional)
N 0.0000 0.0000 0.0000  2 Fe 1.75
As 0.8193 0.6396 0.7218  3 Fe 2.34-2.36
As 0.1807 0.3604 0.2782  3 Fe 2.34-2.36
Fe 0.8183 0.2973 0.0660  1 N 1.75
Fe 0.1817 0.7027 0.9340  1 N 1.75
Ca 0.4455 0.8169 0.2922  2 N 2.58
Ca 0.5545 0.1831 0.7078  2 N 2.58

Output
ΔE_f (raw)   -0.744 eV per atom
V   16.73 A^3/atom

***

No. 21
First-principles (PBE-GGA) data for a geometry-optimized Ca2FeNi3As4 structure, as listed in Alexandria.

Cell lengths 4.1365, 4.1365, 9.7631 Å; angles 90.00, 90.00, 90.00 degrees
Last column: nearest neighbours and their distance in Å.
Element x y z (fractional)
Ni 0.5000 0.0000 0.8757  5 As 2.38-2.40
Ni 0.0000 0.0000 0.5000  4 As 2.44
Ni 0.0000 0.5000 0.1243  5 As 2.38-2.40
As 0.5000 0.0000 0.6322  3 Ni 2.38-2.44, 2 Fe 2.44
As 0.0000 0.5000 0.3678  3 Ni 2.38-2.44, 2 Fe 2.44
As 0.5000 0.5000 0.0000  4 Ni 2.40
As 0.0000 0.0000 0.0000  4 Ni 2.40
Ca 0.0000 0.5000 0.7513  8 As 3.15-3.19, 6 Ni 3.17-3.21, 2 Fe 3.21
Ca 0.5000 0.0000 0.2487  8 As 3.15-3.19, 6 Ni 3.17-3.21, 2 Fe 3.21
Fe 0.5000 0.5000 0.5000  4 As 2.44

Output
E_form   -0.621 eV/atom
V   16.71 A^3/atom